DFT (GGA-PBE) results for Sr2GaHg2 after structural relaxation.

Summary:
Energy relative to the elements ... -240.5 meV/atom
ΔE to the lowest computed polymorph ... 0.234 eV/atom

abc: 6.3757 6.3757 8.4466
angles: 90.00 90.00 90.00
Space group I4/mmm (No. 139)
Unique sites:
Sr 0.0000 0.5000 0.2500
Ga 0.0000 0.0000 0.0000
Hg 0.0000 0.0000 0.3333